Record 1
9
Lattice="8.417 -2.465 0.000 8.417 2.465 0.000 -2.563 0.000 6.665" Properties=species:S:1:pos:R:3 comment="Na3Sn2Bi4 | Alexandria via LeMat-Bulk | PBE | relaxed" e_form_ev_per_atom=-0.167 dos_ef_per_ev_cell=3.59 magmom_total_mub_per_fu=0.00 polymorph_energy_mev_per_atom=17 pbc="T T T"
Na 0.000 0.000 0.000
Na 0.361 0.000 4.217
Na 13.910 0.000 2.448
Sn 5.723 0.000 0.060
Sn 8.548 0.000 6.605
Bi 3.115 0.000 1.851
Bi 6.172 0.000 4.527
Bi 8.099 0.000 2.138
Bi 11.156 0.000 4.814

***

Record 2
11
Lattice="8.799 -2.672 0.000 8.799 2.672 0.000 -3.246 0.000 7.040" Properties=species:S:1:pos:R:3 comment="Na8Sn2Bi | Alexandria via LeMat-Bulk | PBE | relaxed" e_form_ev_per_atom=-0.174 dos_ef_per_ev_cell=7.58 magmom_total_mub_per_fu=0.00 polymorph_energy_mev_per_atom=35 pbc="T T T"
Na -0.630 0.000 1.595
Na 0.731 0.000 4.837
Na 4.058 0.000 4.290
Na 6.059 0.000 0.528
Na 8.294 0.000 6.512
Na 10.295 0.000 2.751
Na 13.622 0.000 2.203
Na 14.983 0.000 5.445
Sn 2.776 0.000 1.262
Sn 11.577 0.000 5.778
Bi 7.177 0.000 3.520

***

Record 3
14
Lattice="8.133 0.000 0.000 0.000 9.530 0.000 -0.061 0.000 6.280" Properties=species:S:1:pos:R:3 comment="Na2Sn2Bi3 | Alexandria via LeMat-Bulk | PBE | relaxed" e_form_ev_per_atom=-0.094 dos_ef_per_ev_cell=3.83 magmom_total_mub_per_fu=0.00 pbc="T T T"
Na 0.605 1.562 0.224
Na 0.574 3.203 3.363
Na 7.498 6.327 2.916
Na 7.467 7.968 6.056
Sn 2.563 6.027 4.922
Sn 2.594 8.268 1.782
Sn 5.478 1.262 4.497
Sn 5.508 3.503 1.358
Bi -0.031 0.000 3.140
Bi 0.000 4.765 0.000
Bi 2.837 5.180 1.773
Bi 2.806 9.115 4.913
Bi 5.266 0.415 1.367
Bi 5.235 4.350 4.507

***

Record 4
9
Lattice="-5.140 5.140 2.386 5.140 -5.140 2.386 5.140 5.140 -2.386" Properties=species:S:1:pos:R:3 comment="Na4Sn4Bi | Alexandria via LeMat-Bulk | PBE | relaxed" e_form_ev_per_atom=-0.181 dos_ef_per_ev_cell=2.71 magmom_total_mub_per_fu=0.00 pbc="T T T"
Na 1.698 1.698 0.000
Na 3.442 -3.442 2.386
Na -3.442 3.442 2.386
Na 3.442 3.442 2.386
Sn 5.140 1.612 0.000
Sn 1.612 5.140 0.000
Sn 3.528 0.000 2.386
Sn 0.000 3.528 2.386
Bi 0.000 0.000 2.386

***

Record 5
20
Lattice="-4.784 8.627 4.408 4.784 -8.627 4.408 4.784 8.627 -4.408" Properties=species:S:1:pos:R:3 comment="Na3Sn2Bi5 | Alexandria via LeMat-Bulk | PBE | relaxed" e_form_ev_per_atom=-0.070 dos_ef_per_ev_cell=4.93 magmom_total_mub_per_fu=0.00 pbc="T T T"
Na 7.077 3.182 0.000
Na 0.000 0.000 2.204
Na 2.293 5.445 0.000
Na 2.492 3.182 4.408
Na 0.000 0.000 6.612
Na -2.293 5.445 4.408
Sn 0.715 2.190 0.000
Sn 5.500 6.437 0.000
Sn -0.715 2.190 4.408
Sn 4.069 6.437 4.408
Bi 4.784 4.451 -2.204
Bi 3.729 2.062 0.000
Bi 4.784 0.000 2.204
Bi 3.729 -2.062 4.408
Bi 0.000 4.176 2.204
Bi 4.784 4.451 2.204
Bi 1.055 10.689 0.000
Bi 0.000 8.627 2.204
Bi 1.055 6.566 4.408
Bi 0.000 4.176 6.612

***

Record 6
10
Lattice="9.302 0.000 0.000 0.000 9.302 0.000 0.000 0.000 3.401" Properties=species:S:1:pos:R:3 comment="Na2SnBi2 | Alexandria via LeMat-Bulk | PBE | relaxed" e_form_ev_per_atom=-0.145 dos_ef_per_ev_cell=3.63 magmom_total_mub_per_fu=0.00 polymorph_energy_mev_per_atom=39 pbc="T T T"
Na 1.129 3.521 0.000
Na 3.521 8.172 0.000
Na 5.780 1.129 0.000
Na 8.172 5.780 0.000
Sn 0.000 0.000 1.701
Sn 4.651 4.651 1.701
Bi 1.656 6.306 1.701
Bi 2.995 1.656 1.701
Bi 6.306 7.646 1.701
Bi 7.646 2.995 1.701

***

Record 7
16
Lattice="4.674 0.000 0.000 0.000 4.674 0.000 0.000 0.000 20.040" Properties=species:S:1:pos:R:3 comment="Na3Sn12Bi | Alexandria via LeMat-Bulk | PBE | relaxed" e_form_ev_per_atom=-0.053 dos_ef_per_ev_cell=5.04 magmom_total_mub_per_fu=0.00 pbc="T T T"
Na 0.000 0.000 0.000
Na 0.000 0.000 4.846
Na 0.000 0.000 15.193
Sn 0.000 2.337 2.439
Sn 0.000 2.337 7.323
Sn 0.000 2.337 12.716
Sn 0.000 2.337 17.600
Sn 2.337 0.000 2.439
Sn 2.337 0.000 7.323
Sn 2.337 0.000 12.716
Sn 2.337 0.000 17.600
Sn 2.337 2.337 0.000
Sn 2.337 2.337 4.904
Sn 2.337 2.337 10.020
Sn 2.337 2.337 15.135
Bi 0.000 0.000 10.020

***

Record 8
6
Lattice="2.382 -7.218 0.000 2.382 7.218 0.000 0.000 0.000 4.927" Properties=species:S:1:pos:R:3 comment="Na3SnBi2 | Alexandria via LeMat-Bulk | PBE | relaxed" e_form_ev_per_atom=-0.254 dos_ef_per_ev_cell=2.53 magmom_total_mub_per_fu=0.00 polymorph_energy_mev_per_atom=0 pbc="T T T"
Na 0.000 0.000 0.000
Na 2.382 2.408 0.000
Na 2.382 -2.408 0.000
Sn 2.382 0.000 2.464
Bi 2.382 4.875 2.464
Bi 2.382 -4.875 2.464